*w*
Material: BaGaSbPd2
Method: DFT, PBE
State: optimized geometry

The space group is P4/nmm (No. 129, origin choice 2) and the conventional cell measures 4.7475, 4.7475 and 10.4191 Å, with angles of 90.00, 90.00 and 90.00 degrees. The asymmetric unit holds Ba at (0.2500, 0.2500, 0.2382), Ga at (0.2500, 0.2500, 0.8896), Sb at (0.2500, 0.7500, 0.5000), Pd at (0.2500, 0.2500, 0.6359) and Pd at (0.2500, 0.7500, 0.0000).

*x*
Material: BaGaSbPd2
Method: DFT, PBE
State: optimized geometry

The space group is P4/nmm (No. 129, origin choice 2) and the conventional cell measures 4.7125, 4.7125 and 10.5752 Å, with angles of 90.00, 90.00 and 90.00 degrees. The asymmetric unit holds Ba at (0.2500, 0.2500, 0.2480), Ga at (0.2500, 0.7500, 0.0000), Sb at (0.2500, 0.2500, 0.6312), Pd at (0.2500, 0.2500, 0.8924) and Pd at (0.2500, 0.7500, 0.5000).

Which one is most stable, and which one is least stable? *x* is the most stable of them, while *w* is the least stable.

*w*
Material: BaGa3Pt
Method: DFT, PBE
State: optimized geometry

The space group is Imma (No. 74) and the conventional cell measures 6.2471, 9.6986 and 7.6594 Å, with angles of 90.00, 90.00 and 90.00 degrees. The asymmetric unit holds Ba at (0.0000, 0.2500, 0.0901), Ga at (0.0000, 0.2500, 0.5947), Ga at (0.2500, 0.0571, 0.7500) and Pt at (0.0000, 0.0000, 0.5000).

*x*
Material: BaGa3Pt
Method: DFT, PBE
State: optimized geometry

The space group is I4mm (No. 107) and the conventional cell measures 4.5532, 4.5532 and 10.7900 Å, with angles of 90.00, 90.00 and 90.00 degrees. The asymmetric unit holds Ba at (0.0000, 0.0000, 0.0000), Ga at (0.0000, 0.0000, 0.6035), Ga at (0.0000, 0.5000, 0.2503) and Pt at (0.0000, 0.0000, 0.3645).

Which one is most stable, and which one is least stable? *x* is the most stable of them, while *w* is the least stable.

*w*
Material: BaZrGa
Method: DFT, PBE
State: optimized geometry

The space group is F-43m (No. 216) and the conventional cell measures 7.3168, 7.3168 and 7.3168 Å, with angles of 90.00, 90.00 and 90.00 degrees. The asymmetric unit holds Ba at (0.0000, 0.0000, 0.0000), Zr at (0.2500, 0.2500, 0.2500) and Ga at (0.2500, 0.2500, 0.7500).

*x*
Material: BaZrGa
Method: DFT, PBE
State: optimized geometry

The space group is F-43m (No. 216) and the conventional cell measures 7.2722, 7.2722 and 7.2722 Å, with angles of 90.00, 90.00 and 90.00 degrees. The asymmetric unit holds Ba at (0.0000, 0.0000, 0.0000), Zr at (0.0000, 0.0000, 0.5000) and Ga at (0.2500, 0.2500, 0.2500).

Which one is most stable, and which one is least stable? *x* is the most stable of them, while *w* is the least stable.

*w*
Material: Ba2Gd
Method: DFT, PBE
State: optimized geometry

The space group is Fd-3m (No. 227, origin choice 2) and the conventional cell measures 14.6347, 14.6347 and 14.6347 Å, with angles of 90.00, 90.00 and 90.00 degrees. The asymmetric unit holds Ba at (0.0000, 0.0000, 0.0000) and Gd at (0.1250, 0.1250, 0.1250).

*x*
Material: Ba2Gd
Method: DFT, PBE
State: optimized geometry

The space group is Fm-3m (No. 225) and the conventional cell measures 8.9772, 8.9772 and 8.9772 Å, with angles of 90.00, 90.00 and 90.00 degrees. The asymmetric unit holds Ba at (0.2500, 0.2500, 0.2500) and Gd at (0.0000, 0.0000, 0.0000).

Which one is most stable, and which one is least stable? *x* is the most stable of them, while *w* is the least stable.

*w*
Material: Ba2Gd
Method: DFT, PBE
State: optimized geometry

The space group is I4/mmm (No. 139) and the conventional cell measures 4.1582, 4.1582 and 17.0284 Å, with angles of 90.00, 90.00 and 90.00 degrees. The asymmetric unit holds Ba at (0.0000, 0.0000, 0.1529) and Gd at (0.0000, 0.0000, 0.5000).

*x*
Material: Ba2Gd
Method: DFT, PBE
State: optimized geometry

The space group is Fd-3m (No. 227, origin choice 2) and the conventional cell measures 10.5065, 10.5065 and 10.5065 Å, with angles of 90.00, 90.00 and 90.00 degrees. The asymmetric unit holds Ba at (0.0000, 0.0000, 0.0000) and Gd at (0.1250, 0.1250, 0.6250).

Which one is most stable, and which one is least stable? *w* is the most stable of them, while *x* is the least stable.

*w*
Material: BaGd2
Method: DFT, PBE
State: optimized geometry

The space group is Fd-3m (No. 227, origin choice 2) and the conventional cell measures 10.0400, 10.0400 and 10.0400 Å, with angles of 90.00, 90.00 and 90.00 degrees. The asymmetric unit holds Ba at (0.1250, 0.1250, 0.1250) and Gd at (0.0000, 0.0000, 0.5000).

*x*
Material: BaGd2
Method: DFT, PBE
State: optimized geometry

The space group is Fd-3m (No. 227, origin choice 2) and the conventional cell measures 13.3495, 13.3495 and 13.3495 Å, with angles of 90.00, 90.00 and 90.00 degrees. The asymmetric unit holds Ba at (0.1250, 0.1250, 0.1250) and Gd at (0.0000, 0.0000, 0.0000).

Which one is most stable, and which one is least stable? *w* is the most stable of them, while *x* is the least stable.

*w*
Material: RbBaGdTe3
Method: DFT, PBE
State: optimized geometry

The space group is Pnma (No. 62) and the conventional cell measures 14.0454, 4.6609 and 15.0675 Å, with angles of 90.00, 90.00 and 90.00 degrees. The asymmetric unit holds Rb at (0.1205, 0.2500, 0.0717), Ba at (0.1278, 0.2500, 0.4180), Gd at (0.1047, 0.2500, 0.7436), Te at (0.1095, 0.7500, 0.2536), Te at (0.1223, 0.7500, 0.5988) and Te at (0.1312, 0.7500, 0.8775).

*x*
Material: RbBaGdTe3
Method: DFT, PBE
State: optimized geometry

The space group is Cmcm (No. 63) and the conventional cell measures 4.6786, 21.8356 and 13.3301 Å, with angles of 90.00, 90.00 and 90.00 degrees. The asymmetric unit holds Rb at (0.0000, 0.1325, 0.2500), Ba at (0.0000, 0.1000, 0.7500), Gd at (0.0000, 0.5000, 0.0000), Te at (0.0000, 0.0978, 0.5026) and Te at (0.0000, 0.4929, 0.7500).

Which one is most stable, and which one is least stable? *w* is the most stable of them, while *x* is the least stable.

*w*
Material: BaLiNiGe
Method: DFT, PBE
State: optimized geometry

The space group is Pmn2_1 (No. 31) and the conventional cell measures 4.3017, 5.9888 and 6.8145 Å, with angles of 90.00, 90.00 and 90.00 degrees. The asymmetric unit holds Ba at (0.0000, 0.1209, 0.0000), Li at (0.0000, 0.5993, 0.8325), Ni at (0.0000, 0.5826, 0.2060) and Ge at (0.0000, 0.3767, 0.5223).

*x*
Material: BaLiNiGe
Method: DFT, PBE
State: optimized geometry

The space group is P2_1/m (No. 11) and the conventional cell measures 6.0460, 4.2688 and 7.1369 Å, with angles of 90.00, 91.48 and 90.00 degrees. The asymmetric unit holds Ba at (0.1148, 0.2500, 0.2769), Li at (0.3940, 0.7500, 0.9329), Ni at (0.4111, 0.7500, 0.5655) and Ge at (0.3806, 0.2500, 0.7239).

Which one is most stable, and which one is least stable? *x* is the most stable of them, while *w* is the least stable.

*w*
Material: BaMgNiGe
Method: DFT, PBE
State: optimized geometry

The space group is F-43m (No. 216) and the conventional cell measures 7.2402, 7.2402 and 7.2402 Å, with angles of 90.00, 90.00 and 90.00 degrees. The asymmetric unit holds Ba at (0.0000, 0.0000, 0.0000), Mg at (0.0000, 0.0000, 0.5000), Ni at (0.2500, 0.2500, 0.7500) and Ge at (0.2500, 0.2500, 0.2500).

*x*
Material: BaMgNiGe
Method: DFT, PBE
State: optimized geometry

The space group is F-43m (No. 216) and the conventional cell measures 7.1198, 7.1198 and 7.1198 Å, with angles of 90.00, 90.00 and 90.00 degrees. The asymmetric unit holds Ba at (0.0000, 0.0000, 0.0000), Mg at (0.2500, 0.2500, 0.2500), Ni at (0.0000, 0.0000, 0.5000) and Ge at (0.2500, 0.2500, 0.7500).

*y*
Material: BaMgNiGe
Method: DFT, PBE
State: optimized geometry

The space group is F-43m (No. 216) and the conventional cell measures 6.9824, 6.9824 and 6.9824 Å, with angles of 90.00, 90.00 and 90.00 degrees. The asymmetric unit holds Ba at (0.0000, 0.0000, 0.0000), Mg at (0.2500, 0.2500, 0.7500), Ni at (0.2500, 0.2500, 0.2500) and Ge at (0.0000, 0.0000, 0.5000).

Which one is most stable, and which one is least stable? *w* is the most stable of them, while *x* is the least stable.

*w*
Material: BaMgGePd
Method: DFT, PBE
State: optimized geometry

The space group is F-43m (No. 216) and the conventional cell measures 7.3561, 7.3561 and 7.3561 Å, with angles of 90.00, 90.00 and 90.00 degrees. The asymmetric unit holds Ba at (0.0000, 0.0000, 0.0000), Mg at (0.0000, 0.0000, 0.5000), Ge at (0.2500, 0.2500, 0.2500) and Pd at (0.2500, 0.2500, 0.7500).

*x*
Material: BaMgGePd
Method: DFT, PBE
State: optimized geometry

The space group is F-43m (No. 216) and the conventional cell measures 7.2293, 7.2293 and 7.2293 Å, with angles of 90.00, 90.00 and 90.00 degrees. The asymmetric unit holds Ba at (0.0000, 0.0000, 0.0000), Mg at (0.2500, 0.2500, 0.2500), Ge at (0.2500, 0.2500, 0.7500) and Pd at (0.0000, 0.0000, 0.5000).

Which one is most stable, and which one is least stable? *w* is the most stable of them, while *x* is the least stable.

*w*
Material: BaMgGePt
Method: DFT, PBE
State: optimized geometry

The space group is F-43m (No. 216) and the conventional cell measures 7.2932, 7.2932 and 7.2932 Å, with angles of 90.00, 90.00 and 90.00 degrees. The asymmetric unit holds Ba at (0.0000, 0.0000, 0.0000), Mg at (0.0000, 0.0000, 0.5000), Ge at (0.2500, 0.2500, 0.2500) and Pt at (0.2500, 0.2500, 0.7500).

*x*
Material: BaMgGePt
Method: DFT, PBE
State: optimized geometry

The space group is F-43m (No. 216) and the conventional cell measures 7.1962, 7.1962 and 7.1962 Å, with angles of 90.00, 90.00 and 90.00 degrees. The asymmetric unit holds Ba at (0.0000, 0.0000, 0.0000), Mg at (0.2500, 0.2500, 0.7500), Ge at (0.0000, 0.0000, 0.5000) and Pt at (0.2500, 0.2500, 0.2500).

Which one is most stable, and which one is least stable? *w* is the most stable of them, while *x* is the least stable.

*w*
Material: Ba2Zn2SiGe
Method: DFT, PBE
State: optimized geometry

The space group is P4mm (No. 99) and the conventional cell measures 4.5487, 4.5487 and 7.7089 Å, with angles of 90.00, 90.00 and 90.00 degrees. The asymmetric unit holds Ba at (0.0000, 0.0000, 0.0000), Ba at (0.5000, 0.5000, 0.3682), Zn at (0.0000, 0.5000, 0.6863), Si at (0.5000, 0.5000, 0.8679) and Ge at (0.0000, 0.0000, 0.4921).

*x*
Material: Ba2Zn2SiGe
Method: DFT, PBE
State: optimized geometry

The space group is P-6m2 (No. 187) and the conventional cell measures 4.4419, 4.4419 and 9.7757 Å, with angles of 90.00, 90.00 and 120.00 degrees. The asymmetric unit holds Ba at (0.0000, 0.0000, 0.2490), Zn at (0.3333, 0.6667, 0.5000), Zn at (0.6667, 0.3333, 0.0000), Si at (0.3333, 0.6667, 0.0000) and Ge at (0.6667, 0.3333, 0.5000).

Which one is most stable, and which one is least stable? *x* is the most stable of them, while *w* is the least stable.